Record 1
# OsAu2

A relaxed OsAu2 crystal (GGA-PBE, Alexandria via LeMat-Bulk).

a b c (Å): 6.609 6.609 4.954
angles (deg): 90.00 90.00 90.00
Element x y z (fractional)
Os: 0.000 0.000 0.250
Os: 0.000 0.000 0.750
Os: 0.500 0.500 0.250
Os: 0.500 0.500 0.750
Au: 0.158 0.342 0.000
Au: 0.158 0.658 0.500
Au: 0.342 0.158 0.500
Au: 0.342 0.842 0.000
Au: 0.658 0.158 0.000
Au: 0.658 0.842 0.500
Au: 0.842 0.342 0.500
Au: 0.842 0.658 0.000

Values from the calculation:
**Space group**: I4/mcm (140)
**Distance to the lowest polymorph of the same formula**: 224 meV/atom

=====

Record 2
# OsAu5

A relaxed OsAu5 crystal (GGA-PBE, Alexandria via LeMat-Bulk).

a b c (Å): 5.320 5.320 4.869
angles (deg): 90.00 90.00 120.00
Element x y z (fractional)
Os: 0.000 0.000 0.000
Au: 0.000 0.500 0.500
Au: 0.333 0.667 0.000
Au: 0.500 0.000 0.500
Au: 0.500 0.500 0.500
Au: 0.667 0.333 0.000

Values from the calculation:
**Space group**: P6/mmm (191)
**Distance to the lowest polymorph of the same formula**: 529 meV/atom

=====

Record 3
# Os4Au3

A relaxed Os4Au3 crystal (GGA-PBE, Alexandria via LeMat-Bulk).

a b c (Å): 3.313 3.313 20.795
angles (deg): 90.00 90.00 90.00
Element x y z (fractional)
Os: 0.000 0.000 0.078
Os: 0.000 0.000 0.369
Os: 0.000 0.000 0.631
Os: 0.000 0.000 0.922
Os: 0.500 0.500 0.131
Os: 0.500 0.500 0.422
Os: 0.500 0.500 0.578
Os: 0.500 0.500 0.869
Au: 0.000 0.000 0.212
Au: 0.000 0.000 0.500
Au: 0.000 0.000 0.788
Au: 0.500 0.500 0.000
Au: 0.500 0.500 0.288
Au: 0.500 0.500 0.712

Values from the calculation:
**Space group**: I4/mmm (139)

=====

Record 4
# Os3Au5

A relaxed Os3Au5 crystal (GGA-PBE, Alexandria via LeMat-Bulk).

a b c (Å): 7.938 7.938 5.050
angles (deg): 90.00 90.00 120.00
Element x y z (fractional)
Os: 0.000 0.419 0.250
Os: 0.000 0.581 0.750
Os: 0.419 0.000 0.250
Os: 0.419 0.419 0.750
Os: 0.581 0.000 0.750
Os: 0.581 0.581 0.250
Au: 0.000 0.220 0.750
Au: 0.000 0.780 0.250
Au: 0.220 0.000 0.750
Au: 0.220 0.220 0.250
Au: 0.333 0.667 0.000
Au: 0.333 0.667 0.500
Au: 0.667 0.333 0.000
Au: 0.667 0.333 0.500
Au: 0.780 0.000 0.250
Au: 0.780 0.780 0.750

Values from the calculation:
**Space group**: P6_3/mcm (193)
**Distance to the lowest polymorph of the same formula**: 299 meV/atom

=====

Record 5
# OsAu7

A relaxed OsAu7 crystal (GGA-PBE, Alexandria via LeMat-Bulk).

a b c (Å): 5.837 5.837 5.837
angles (deg): 60.00 60.00 60.00
Element x y z (fractional)
Os: 0.000 0.000 0.000
Au: 0.000 0.000 0.500
Au: 0.000 0.500 0.000
Au: 0.000 0.500 0.500
Au: 0.500 0.000 0.000
Au: 0.500 0.000 0.500
Au: 0.500 0.500 0.000
Au: 0.500 0.500 0.500

Values from the calculation:
**Space group**: Fm-3m (225)

=====

Record 6
# OsAu2

A relaxed OsAu2 crystal (GGA-PBE, Alexandria via LeMat-Bulk).

a b c (Å): 4.804 4.804 2.663
angles (deg): 90.00 90.00 90.00
Element x y z (fractional)
Os: 0.000 0.000 0.000
Au: 0.000 0.500 0.500
Au: 0.500 0.000 0.500

Values from the calculation:
**Space group**: P4/mmm (123)
**Distance to the lowest polymorph of the same formula**: 207 meV/atom

=====

Table of formation enthalpy at 0 K (kJ per mole of atoms), in record order: 62; 84; 66; 82; 34; 61
Table of magnetization (μB/f.u.), in record order: 0.0; 2.8; 0.0; 0.0; 1.4; 0.6